# PBE Pr2SnGePd6, optimized geometry
# formation energy from the elements = -0.6541 eV per atom
# symmetry = P-1, No. 2
# calculated total energy = -5.588 eV/atom
# magnetic moment = 0.0 μB/f.u.
data_Pr2SnGePd6
_chemical_formula_sum 'Pr2 Sn1 Ge1 Pd6'
_cell_length_a 5.560
_cell_length_b 6.551
_cell_length_c 6.760
_cell_angle_alpha 74.94
_cell_angle_beta 65.73
_cell_angle_gamma 65.02
_symmetry_space_group_name_H-M 'P 1'
_symmetry_Int_Tables_number 1
_symmetry_space_group_name_Hall 'P 1'
loop_
_atom_site_label
_atom_site_fract_x
_atom_site_fract_y
_atom_site_fract_z
Pr1 0.002 0.245 0.250
Pr2 0.998 0.755 0.750
Sn1 0.500 0.500 0.000
Ge1 0.500 0.000 0.500
Pd1 0.011 0.193 0.791
Pd2 0.325 0.420 0.429
Pd3 0.495 0.807 0.209
Pd4 0.505 0.193 0.791
Pd5 0.675 0.580 0.571
Pd6 0.989 0.807 0.209



# PBE Pr2SnGe3Pd4, optimized geometry
# formation energy from the elements = -0.8040 eV per atom
# symmetry = P-4m2, No. 115
# calculated total energy = -5.623 eV/atom
# magnetic moment = 0.0 μB/f.u.
data_Pr2SnGe3Pd4
_chemical_formula_sum 'Pr2 Sn1 Ge3 Pd4'
_cell_length_a 4.392
_cell_length_b 4.392
_cell_length_c 10.528
_cell_angle_alpha 90.00
_cell_angle_beta 90.00
_cell_angle_gamma 90.00
_symmetry_space_group_name_H-M 'P 1'
_symmetry_Int_Tables_number 1
_symmetry_space_group_name_Hall 'P 1'
loop_
_atom_site_label
_atom_site_fract_x
_atom_site_fract_y
_atom_site_fract_z
Pr1 0.000 0.500 0.239
Pr2 0.500 0.000 0.761
Sn1 0.000 0.000 0.500
Ge1 0.000 0.500 0.876
Ge2 0.500 0.000 0.124
Ge3 0.500 0.500 0.500
Pd1 0.000 0.000 0.000
Pd2 0.000 0.500 0.643
Pd3 0.500 0.000 0.357
Pd4 0.500 0.500 0.000



# PBE SrPrGePd, optimized geometry
# formation energy from the elements = -0.5904 eV per atom
# symmetry = F-43m, No. 216
# calculated total energy = -4.658 eV/atom
# magnetic moment = 0.0 μB/f.u.
data_SrPrGePd
_chemical_formula_sum 'Sr4 Pr4 Ge4 Pd4'
_cell_length_a 7.452
_cell_length_b 7.452
_cell_length_c 7.452
_cell_angle_alpha 90.00
_cell_angle_beta 90.00
_cell_angle_gamma 90.00
_symmetry_space_group_name_H-M 'P 1'
_symmetry_Int_Tables_number 1
_symmetry_space_group_name_Hall 'P 1'
loop_
_atom_site_label
_atom_site_fract_x
_atom_site_fract_y
_atom_site_fract_z
Sr1 0.000 0.000 0.000
Sr2 0.000 0.500 0.500
Sr3 0.500 0.000 0.500
Sr4 0.500 0.500 0.000
Pr1 0.000 0.000 0.500
Pr2 0.000 0.500 0.000
Pr3 0.500 0.000 0.000
Pr4 0.500 0.500 0.500
Ge1 0.250 0.250 0.250
Ge2 0.250 0.750 0.750
Ge3 0.750 0.250 0.750
Ge4 0.750 0.750 0.250
Pd1 0.250 0.250 0.750
Pd2 0.250 0.750 0.250
Pd3 0.750 0.250 0.250
Pd4 0.750 0.750 0.750



# PBE TbPrGePd, optimized geometry
# formation energy from the elements = -0.7385 eV per atom
# symmetry = F-43m, No. 216
# calculated total energy = -5.544 eV/atom
# magnetic moment = 0.0 μB/f.u.
data_TbPrGePd
_chemical_formula_sum 'Tb4 Pr4 Ge4 Pd4'
_cell_length_a 7.257
_cell_length_b 7.257
_cell_length_c 7.257
_cell_angle_alpha 90.00
_cell_angle_beta 90.00
_cell_angle_gamma 90.00
_symmetry_space_group_name_H-M 'P 1'
_symmetry_Int_Tables_number 1
_symmetry_space_group_name_Hall 'P 1'
loop_
_atom_site_label
_atom_site_fract_x
_atom_site_fract_y
_atom_site_fract_z
Tb1 0.000 0.000 0.000
Tb2 0.000 0.500 0.500
Tb3 0.500 0.000 0.500
Tb4 0.500 0.500 0.000
Pr1 0.000 0.000 0.500
Pr2 0.000 0.500 0.000
Pr3 0.500 0.000 0.000
Pr4 0.500 0.500 0.500
Ge1 0.250 0.250 0.750
Ge2 0.250 0.750 0.250
Ge3 0.750 0.250 0.250
Ge4 0.750 0.750 0.750
Pd1 0.250 0.250 0.250
Pd2 0.250 0.750 0.750
Pd3 0.750 0.250 0.750
Pd4 0.750 0.750 0.250



# PBE TbPrGe2Pd5, optimized geometry
# formation energy from the elements = -0.7866 eV per atom
# symmetry = P4/mmm, No. 123
# calculated total energy = -5.743 eV/atom
# magnetic moment = 0.0 μB/f.u.
data_TbPrGe2Pd5
_chemical_formula_sum 'Tb1 Pr1 Ge2 Pd5'
_cell_length_a 4.291
_cell_length_b 4.291
_cell_length_c 9.152
_cell_angle_alpha 90.00
_cell_angle_beta 90.00
_cell_angle_gamma 90.00
_symmetry_space_group_name_H-M 'P 1'
_symmetry_Int_Tables_number 1
_symmetry_space_group_name_Hall 'P 1'
loop_
_atom_site_label
_atom_site_fract_x
_atom_site_fract_y
_atom_site_fract_z
Tb1 0.000 0.000 0.000
Pr1 0.000 0.000 0.500
Ge1 0.500 0.500 0.134
Ge2 0.500 0.500 0.866
Pd1 0.000 0.500 0.270
Pd2 0.000 0.500 0.730
Pd3 0.500 0.000 0.270
Pd4 0.500 0.000 0.730
Pd5 0.500 0.500 0.500



# PBE TbPrGePd, optimized geometry
# formation energy from the elements = -0.8313 eV per atom
# symmetry = Amm2, No. 38
# calculated total energy = -5.636 eV/atom
# magnetic moment = 0.0 μB/f.u.
data_TbPrGePd
_chemical_formula_sum 'Tb2 Pr2 Ge2 Pd2'
_cell_length_a 4.345
_cell_length_b 4.070
_cell_length_c 11.116
_cell_angle_alpha 90.00
_cell_angle_beta 90.00
_cell_angle_gamma 90.00
_symmetry_space_group_name_H-M 'P 1'
_symmetry_Int_Tables_number 1
_symmetry_space_group_name_Hall 'P 1'
loop_
_atom_site_label
_atom_site_fract_x
_atom_site_fract_y
_atom_site_fract_z
Tb1 0.000 0.000 0.000
Tb2 0.000 0.500 0.500
Pr1 0.500 0.000 0.276
Pr2 0.500 0.500 0.776
Ge1 0.000 0.000 0.712
Ge2 0.000 0.500 0.212
Pd1 0.500 0.000 0.555
Pd2 0.500 0.500 0.055



# PBE TbPrGe2Pd2, optimized geometry
# formation energy from the elements = -0.9161 eV per atom
# symmetry = P-3m1, No. 164
# calculated total energy = -5.754 eV/atom
# magnetic moment = 0.0 μB/f.u.
data_TbPrGe2Pd2
_chemical_formula_sum 'Tb1 Pr1 Ge2 Pd2'
_cell_length_a 4.461
_cell_length_b 4.461
_cell_length_c 7.357
_cell_angle_alpha 90.00
_cell_angle_beta 90.00
_cell_angle_gamma 120.00
_symmetry_space_group_name_H-M 'P 1'
_symmetry_Int_Tables_number 1
_symmetry_space_group_name_Hall 'P 1'
loop_
_atom_site_label
_atom_site_fract_x
_atom_site_fract_y
_atom_site_fract_z
Tb1 0.000 0.000 0.000
Pr1 0.000 0.000 0.500
Ge1 0.333 0.667 0.765
Ge2 0.667 0.333 0.235
Pd1 0.333 0.667 0.214
Pd2 0.667 0.333 0.786



# PBE Pr2TiGe4Pd3, optimized geometry
# formation energy from the elements = -0.7882 eV per atom
# symmetry = P-4m2, No. 115
# calculated total energy = -5.938 eV/atom
# magnetic moment = 0.0 μB/f.u.
data_Pr2TiGe4Pd3
_chemical_formula_sum 'Pr2 Ti1 Ge4 Pd3'
_cell_length_a 4.268
_cell_length_b 4.268
_cell_length_c 10.853
_cell_angle_alpha 90.00
_cell_angle_beta 90.00
_cell_angle_gamma 90.00
_symmetry_space_group_name_H-M 'P 1'
_symmetry_Int_Tables_number 1
_symmetry_space_group_name_Hall 'P 1'
loop_
_atom_site_label
_atom_site_fract_x
_atom_site_fract_y
_atom_site_fract_z
Pr1 0.000 0.500 0.242
Pr2 0.500 0.000 0.758
Ti1 0.000 0.000 0.500
Ge1 0.000 0.000 0.000
Ge2 0.000 0.500 0.639
Ge3 0.500 0.000 0.361
Ge4 0.500 0.500 0.000
Pd1 0.000 0.500 0.872
Pd2 0.500 0.000 0.128
Pd3 0.500 0.500 0.500